#A
Computed, not measured: a relaxed structure of ZrNb3Fe at the GGA-PBE level of DFT.

## Properties
calculated volume = 100.0 Å³ per cell

The structure in POSCAR format:
```
ZrNb3Fe
1.0
4.642 0.000 0.000
0.000 4.642 0.000
0.000 0.000 4.642
Zr Fe Nb
1 1 3
Direct
0.500 0.500 0.500 Zr
0.000 0.000 0.000 Fe
0.000 0.500 0.000 Nb
0.000 0.000 0.500 Nb
0.500 0.000 0.000 Nb
```

---

#B
Computed, not measured: a relaxed structure of ZrNb3Fe at the GGA-PBE level of DFT.

## Properties
calculated volume = 112.7 Å³ per cell

The structure in POSCAR format:
```
ZrNb3Fe
1.0
-3.080 -3.692 -0.462
0.422 -0.943 4.719
-3.697 2.969 0.924
Nb Fe Zr
3 1 1
Direct
0.000 0.000 0.500 Nb
0.000 0.500 0.000 Nb
0.500 0.000 0.000 Nb
0.500 0.500 0.500 Fe
0.000 0.000 0.000 Zr
```

---

Which structure is most stable? #A, by 1666 meV per atom over the runner-up.

---

#A
Computed, not measured: a relaxed structure of NdFe6 at the GGA-PBE level of DFT.

## Properties
calculated volume = 110.5 Å³ per cell

The structure in POSCAR format:
```
NdFe6
1.0
-4.332 2.451 -1.624
-1.314 -3.929 3.201
3.066 3.385 2.559
Fe Nd
6 1
Direct
0.250 0.750 0.500 Fe
0.750 0.500 0.250 Fe
0.250 0.500 0.750 Fe
0.500 0.750 0.250 Fe
0.750 0.250 0.500 Fe
0.500 0.250 0.750 Fe
0.000 0.000 0.000 Nd
```

---

#B
Computed, not measured: a relaxed structure of NdFe6 at the GGA-PBE level of DFT.

## Properties
calculated volume = 402.8 Å³ per cell

The structure in POSCAR format:
```
NdFe6
1.0
4.944 0.000 0.000
0.000 7.978 0.000
0.000 0.000 10.210
Fe Nd
24 4
Direct
0.750 0.351 0.642 Fe
0.250 0.149 0.142 Fe
0.250 0.404 0.985 Fe
0.750 0.596 0.015 Fe
0.506 0.563 0.809 Fe
0.750 0.190 0.249 Fe
0.750 0.690 0.251 Fe
0.250 0.904 0.515 Fe
0.250 0.552 0.599 Fe
0.750 0.096 0.485 Fe
0.250 0.052 0.901 Fe
0.250 0.310 0.749 Fe
0.006 0.437 0.191 Fe
0.494 0.437 0.191 Fe
0.250 0.810 0.751 Fe
0.994 0.563 0.809 Fe
0.994 0.063 0.691 Fe
0.250 0.649 0.358 Fe
0.506 0.063 0.691 Fe
0.494 0.937 0.309 Fe
0.750 0.448 0.401 Fe
0.750 0.851 0.858 Fe
0.750 0.948 0.099 Fe
0.006 0.937 0.309 Fe
0.750 0.739 0.562 Nd
0.250 0.761 0.062 Nd
0.250 0.261 0.438 Nd
0.750 0.239 0.938 Nd
```

---

Which structure is most stable? #B, by 443 meV per atom over the runner-up.

---

#A
Computed, not measured: a relaxed structure of Nd4Fe at the GGA-PBE level of DFT.

## Properties
calculated volume = 322.9 Å³ per cell

The structure in POSCAR format:
```
Nd4Fe
1.0
0.954 -6.399 -4.176
-5.218 -5.651 0.368
-4.600 -1.392 -6.017
Nd Fe
8 2
Direct
0.404 0.865 0.865 Nd
0.385 0.385 0.385 Nd
0.865 0.865 0.404 Nd
0.385 0.385 0.846 Nd
0.846 0.385 0.385 Nd
0.865 0.865 0.865 Nd
0.865 0.404 0.865 Nd
0.385 0.846 0.385 Nd
0.250 0.250 0.250 Fe
0.000 0.000 0.000 Fe
```

---

#B
Computed, not measured: a relaxed structure of Nd4Fe at the GGA-PBE level of DFT.

## Properties
calculated volume = 159.9 Å³ per cell

The structure in POSCAR format:
```
Nd4Fe
1.0
5.428 0.000 0.000
0.000 5.428 0.000
0.000 0.000 5.428
Nd Fe
4 1
Direct
0.500 0.500 0.000 Nd
0.500 0.000 0.500 Nd
0.000 0.500 0.500 Nd
0.000 0.000 0.000 Nd
0.500 0.500 0.500 Fe
```

---

Which structure is most stable? #B, by 222 meV per atom over the runner-up.

---

#A
Computed, not measured: a relaxed structure of Nd2FeOs at the GGA-PBE level of DFT.

## Properties
calculated volume = 93.9 Å³ per cell

The structure in POSCAR format:
```
Nd2FeOs
1.0
3.298 0.000 0.000
1.649 2.856 0.000
1.649 0.952 9.973
Os Fe Nd
1 1 2
Direct
0.500 0.500 0.500 Os
0.000 0.000 0.000 Fe
0.093 0.093 0.722 Nd
0.907 0.907 0.278 Nd
```

---

#B
Computed, not measured: a relaxed structure of Nd2FeOs at the GGA-PBE level of DFT.

## Properties
calculated volume = 105.5 Å³ per cell

The structure in POSCAR format:
```
Nd2FeOs
1.0
4.052 0.000 0.897
1.929 3.566 0.890
0.478 0.301 7.443
Nd Fe Os
2 1 1
Direct
0.892 0.655 0.561 Nd
0.713 0.476 0.099 Nd
0.472 0.235 0.821 Fe
0.133 0.896 0.837 Os
```

---

Which structure is most stable? #B, by 859 meV per atom over the runner-up.

---

#A
Computed, not measured: a relaxed structure of NdPaFe2 at the GGA-PBE level of DFT.

## Properties
calculated volume = 77.1 Å³ per cell

The structure in POSCAR format:
```
NdPaFe2
1.0
3.309 0.000 0.000
0.000 3.309 0.000
0.000 0.000 7.038
Pa Nd Fe
1 1 2
Direct
0.500 0.500 0.000 Pa
0.500 0.500 0.500 Nd
0.000 0.000 0.192 Fe
0.000 0.000 0.808 Fe
```

---

#B
Computed, not measured: a relaxed structure of NdPaFe2 at the GGA-PBE level of DFT.

## Properties
calculated volume = 80.8 Å³ per cell

The structure in POSCAR format:
```
NdPaFe2
1.0
3.521 0.000 0.000
1.760 3.049 0.000
1.760 1.016 7.532
Nd Pa Fe
1 1 2
Direct
0.500 0.500 0.500 Nd
0.000 0.000 0.000 Pa
0.739 0.739 0.784 Fe
0.261 0.261 0.216 Fe
```

---

Which structure is most stable? #A, by 214 meV per atom over the runner-up.

---

#A
Computed, not measured: a relaxed structure of NdUFe at the GGA-PBE level of DFT.

## Properties
calculated volume = 145.5 Å³ per cell

The structure in POSCAR format:
```
NdUFe
1.0
-0.063 0.065 -3.425
-3.145 -2.006 1.733
-1.426 12.475 0.263
Nd U Fe
2 2 2
Direct
0.550 0.100 0.866 Nd
0.450 0.900 0.134 Nd
0.347 0.694 0.352 U
0.653 0.306 0.648 U
0.666 0.331 0.417 Fe
0.334 0.669 0.583 Fe
```

---

#B
Computed, not measured: a relaxed structure of NdUFe at the GGA-PBE level of DFT.

## Properties
calculated volume = 66.5 Å³ per cell

The structure in POSCAR format:
```
NdUFe
1.0
3.488 0.000 0.000
-1.744 3.021 0.000
0.000 0.000 6.310
U Fe Nd
1 1 1
Direct
0.667 0.333 0.410 U
0.333 0.667 0.618 Fe
0.000 0.000 0.971 Nd
```

---

Which structure is most stable? #B, by 78 meV per atom over the runner-up.

---

#A
Computed, not measured: a relaxed structure of NdUFe2 at the GGA-PBE level of DFT.

## Properties
calculated volume = 77.3 Å³ per cell

The structure in POSCAR format:
```
NdUFe2
1.0
3.407 0.000 0.000
1.704 2.951 0.000
1.704 0.984 7.693
Fe Nd U
2 1 1
Direct
0.265 0.265 0.204 Fe
0.735 0.735 0.796 Fe
0.500 0.500 0.500 Nd
0.000 0.000 0.000 U
```

---

#B
Computed, not measured: a relaxed structure of NdUFe2 at the GGA-PBE level of DFT.

## Properties
calculated volume = 314.1 Å³ per cell

The structure in POSCAR format:
```
NdUFe2
1.0
4.373 0.000 0.000
0.000 7.465 0.000
0.000 0.000 9.621
Nd Fe U
4 8 4
Direct
0.250 0.904 0.877 Nd
0.250 0.404 0.623 Nd
0.750 0.096 0.123 Nd
0.750 0.596 0.377 Nd
0.750 0.687 0.071 Fe
0.250 0.299 0.312 Fe
0.250 0.813 0.571 Fe
0.750 0.187 0.429 Fe
0.250 0.799 0.188 Fe
0.750 0.201 0.812 Fe
0.250 0.313 0.929 Fe
0.750 0.701 0.688 Fe
0.250 0.441 0.124 U
0.750 0.059 0.624 U
0.250 0.941 0.376 U
0.750 0.559 0.876 U
```

---

Which structure is most stable? #B, by 380 meV per atom over the runner-up.

---

#A
Computed, not measured: a relaxed structure of NdY2Fe at the GGA-PBE level of DFT.

## Properties
calculated volume = 105.5 Å³ per cell

The structure in POSCAR format:
```
NdY2Fe
1.0
-2.040 2.140 -1.661
-2.617 -2.093 0.518
-1.890 4.311 7.872
Fe Y Nd
1 2 1
Direct
0.500 0.500 0.000 Fe
0.000 0.000 0.824 Y
0.000 0.000 0.176 Y
0.500 0.500 0.500 Nd
```

---

#B
Computed, not measured: a relaxed structure of NdY2Fe at the GGA-PBE level of DFT.

## Properties
calculated volume = 115.1 Å³ per cell

The structure in POSCAR format:
```
NdY2Fe
1.0
-3.184 -1.455 0.301
-0.498 -3.347 -0.945
1.171 -4.782 9.786
Fe Y Nd
1 2 1
Direct
0.500 0.500 0.500 Fe
0.891 0.891 0.328 Y
0.109 0.109 0.672 Y
0.000 0.000 0.000 Nd
```

---

Which structure is most stable? #A, by 236 meV per atom over the runner-up.